No. 1
This record from the Alexandria database describes a geometry-optimized Nb3TeP structure. The functional is PBE-GGA.

Formation energy without anion corrections ... 1.646 eV/atom
Total magnetization ... 0.000 μB/atom
Electronic total energy ... -6.106 eV/atom
DOS at the Fermi energy ... 7.276 states/eV/cell
Polymorph energy (0 for the lowest one) ... 1438 meV/atom

```
data_Nb3TeP
_chemical_formula_sum 'Nb3 Te1 P1'
_cell_length_a 5.022
_cell_length_b 5.022
_cell_length_c 5.022
_cell_angle_alpha 90.00
_cell_angle_beta 90.00
_cell_angle_gamma 90.00
_symmetry_space_group_name_H-M 'P m -3 m'
_symmetry_Int_Tables_number 221
_symmetry_space_group_name_Hall '-P 4 2 3'
loop_
_atom_site_label
_atom_site_type_symbol
_atom_site_fract_x
_atom_site_fract_y
_atom_site_fract_z
Nb1 Nb 0.000 0.000 0.500
Te1 Te 0.000 0.000 0.000
P1 P 0.500 0.500 0.500
```

=====

No. 2
This record from the Alexandria database describes a geometry-optimized NbTe3P structure. The functional is PBE-GGA.

Formation energy without anion corrections ... 0.796 eV/atom
Total magnetization ... 0.456 μB/atom
Electronic total energy ... -4.185 eV/atom
DOS at the Fermi energy ... 3.402 states/eV/cell
Polymorph energy (0 for the lowest one) ... 139 meV/atom

```
data_NbTe3P
_chemical_formula_sum 'Nb1 Te3 P1'
_cell_length_a 5.142
_cell_length_b 5.142
_cell_length_c 5.142
_cell_angle_alpha 90.00
_cell_angle_beta 90.00
_cell_angle_gamma 90.00
_symmetry_space_group_name_H-M 'P m -3 m'
_symmetry_Int_Tables_number 221
_symmetry_space_group_name_Hall '-P 4 2 3'
loop_
_atom_site_label
_atom_site_type_symbol
_atom_site_fract_x
_atom_site_fract_y
_atom_site_fract_z
Nb1 Nb 0.000 0.000 0.000
Te1 Te 0.000 0.500 0.500
P1 P 0.500 0.500 0.500
```